(1)
DFT (GGA-PBE) results for a relaxed SrZn2Ga9 crystal.

energy of formation from the pure elements: -0.12 eV/atom
VASP energy: -65.90 eV for the cell shown
calculated volume: 474.1 Å³/cell
N(E_F): 3.4 states/eV/f.u.
symmetry: I4_1/amd (141)

Structure (extended XYZ):
```
24
Lattice="-5.661 5.661 3.698 5.661 -5.661 3.698 5.661 5.661 -3.698" Properties=species:S:1:pos:R:3 pbc="T T T"
Sr 0.000 5.661 1.849
Sr 0.000 0.000 3.698
Zn 5.661 -2.831 2.773
Zn 5.661 2.831 2.773
Zn 8.492 0.000 0.924
Zn 2.831 0.000 0.924
Ga 0.000 0.000 0.000
Ga 5.661 0.000 1.849
Ga 3.374 -1.389 3.326
Ga 2.287 7.051 -0.371
Ga -1.389 2.287 1.477
Ga 1.389 9.035 1.477
Ga -3.374 4.272 2.220
Ga 3.374 7.051 2.220
Ga 7.051 2.287 0.371
Ga -1.389 3.374 4.069
Ga -3.374 7.051 2.220
Ga 3.374 4.272 2.220
Ga 1.389 3.374 4.069
Ga 4.272 2.287 0.371
Ga 3.374 1.389 3.326
Ga 2.287 4.272 -0.371
Ga -1.389 9.035 1.477
Ga 1.389 2.287 1.477
```



(2)
DFT (GGA-PBE) results for a relaxed Sr2Zn2Ga crystal.

energy of formation from the pure elements: 0.02 eV/atom
VASP energy: -17.70 eV for the cell shown
calculated volume: 308.7 Å³/cell
N(E_F): 4.7 states/eV/f.u.
symmetry: P4/mbm (127)

Structure (extended XYZ):
```
10
Lattice="-6.699 -3.070 5.033 5.836 -4.529 5.006 0.362 3.062 2.349" Properties=species:S:1:pos:R:3 pbc="T T T"
Sr 2.644 -4.680 5.693
Sr -1.498 -5.600 7.531
Sr -3.507 -2.919 4.345
Sr 0.634 -1.999 2.508
Zn 3.007 -1.544 4.748
Zn 1.330 -4.377 8.700
Zn -3.508 -2.993 7.639
Zn -1.832 -0.160 3.688
Ga 0.000 0.000 0.000
Ga -0.432 -3.799 5.019
```



(3)
DFT (GGA-PBE) results for a relaxed SrZn2Ga crystal.

energy of formation from the pure elements: -0.29 eV/atom
VASP energy: -33.72 eV for the cell shown
calculated volume: 359.2 Å³/cell
N(E_F): 2.0 states/eV/f.u.
symmetry: Immm (71)

Structure (extended XYZ):
```
16
Lattice="-1.301 0.675 -4.275 -4.496 -8.160 0.080 -4.159 7.658 4.862" Properties=species:S:1:pos:R:3 pbc="T T T"
Sr -5.838 -2.112 -0.946
Sr -1.743 -1.646 -2.118
Sr -4.053 -5.840 -2.077
Sr -4.117 2.284 1.613
Zn -6.689 3.687 0.228
Zn -3.871 0.601 -1.116
Zn -2.585 2.934 -1.139
Zn -6.085 -0.429 1.783
Zn -1.268 0.703 0.497
Zn -3.266 -3.515 0.439
Zn -8.688 -0.531 0.170
Zn -7.370 -2.762 1.806
Ga -6.609 1.147 -0.197
Ga -3.346 -0.975 0.864
Ga -5.452 -4.798 0.901
Ga -4.503 4.970 -0.234
```



(4)
DFT (GGA-PBE) results for a relaxed Sr2ZnGa3 crystal.

energy of formation from the pure elements: -0.43 eV/atom
VASP energy: -32.56 eV for the cell shown
calculated volume: 303.6 Å³/cell
N(E_F): 2.7 states/eV/f.u.
symmetry: Fmmm (69)

Structure (extended XYZ):
```
12
Lattice="6.209 -0.131 0.000 -0.372 6.200 0.000 -2.919 -3.034 7.898" Properties=species:S:1:pos:R:3 pbc="T T T"
Sr -0.186 3.100 3.949
Sr 4.338 4.510 0.000
Sr 3.105 -0.066 3.949
Sr 1.499 1.558 0.000
Zn 2.919 3.034 2.646
Zn 0.000 0.000 5.252
Ga 1.252 4.637 1.320
Ga -1.666 1.603 6.577
Ga 1.666 -1.603 6.577
Ga 4.585 1.432 1.320
Ga 0.000 0.000 2.627
Ga 2.919 3.034 5.270
```



(5)
DFT (GGA-PBE) results for a relaxed Sr2ZnGa2 crystal.

energy of formation from the pure elements: -0.38 eV/atom
VASP energy: -25.15 eV for the cell shown
calculated volume: 269.3 Å³/cell
E above lowest polymorph: 0.000 eV per atom
N(E_F): 3.5 states/eV/f.u.
symmetry: C2/m (12)

Structure (extended XYZ):
```
10
Lattice="-3.516 -1.888 -2.589 -2.599 -4.811 2.666 -8.408 5.113 3.321" Properties=species:S:1:pos:R:3 pbc="T T T"
Sr -5.987 -0.991 0.113
Sr -11.426 1.444 1.353
Sr -8.536 -0.594 3.285
Sr -3.098 -3.029 2.044
Zn -7.918 1.641 0.816
Zn -6.606 -3.226 2.582
Ga -5.704 1.352 2.391
Ga -11.926 -0.856 3.709
Ga -8.819 -2.937 1.007
Ga -2.597 -0.729 -0.312
```



(6)
DFT (GGA-PBE) results for a relaxed SrZnGa2 crystal.

energy of formation from the pure elements: -0.14 eV/atom
VASP energy: -9.57 eV for the cell shown
calculated volume: 101.2 Å³/cell
N(E_F): 2.1 states/eV/f.u.
symmetry: Amm2 (38)

Structure (extended XYZ):
```
4
Lattice="-2.199 1.304 -2.914 -3.947 0.563 3.230 2.013 4.685 0.577" Properties=species:S:1:pos:R:3 pbc="T T T"
Sr 1.995 4.672 0.585
Zn -1.377 3.753 0.139
Ga -3.592 3.429 1.665
Ga -2.882 1.504 0.270
```



(7)
DFT (GGA-PBE) results for a relaxed SrZnGa3 crystal.

energy of formation from the pure elements: 0.97 eV/atom
VASP energy: -7.20 eV for the cell shown
calculated volume: 219.3 Å³/cell
N(E_F): 7.9 states/eV/f.u.
symmetry: Pm-3m (221)

Structure (extended XYZ):
```
5
Lattice="6.030 0.000 0.000 0.000 6.030 0.000 0.000 0.000 6.030" Properties=species:S:1:pos:R:3 pbc="T T T"
Sr 0.000 0.000 0.000
Zn 3.015 3.015 3.015
Ga 0.000 3.015 0.000
Ga 0.000 0.000 3.015
Ga 3.015 0.000 0.000
```



(8)
DFT (GGA-PBE) results for a relaxed SrZnGa2 crystal.

energy of formation from the pure elements: -0.38 eV/atom
VASP energy: -84.30 eV for the cell shown
calculated volume: 735.6 Å³/cell
N(E_F): 1.8 states/eV/f.u.
symmetry: Pnma (62)

Structure (extended XYZ):
```
32
Lattice="-2.692 0.718 -3.336 4.077 -9.208 -5.271 -10.400 -8.376 6.587" Properties=species:S:1:pos:R:3 pbc="T T T"
Sr -7.375 -9.767 -0.400
Sr -4.967 -15.517 -0.749
Sr -1.640 -7.098 -1.621
Sr -4.048 -1.349 -1.272
Sr -10.851 -9.782 2.401
Sr -3.308 -11.396 -1.200
Sr 1.836 -7.083 -4.422
Sr -5.706 -5.469 -0.821
Zn -9.652 -12.489 0.851
Zn -6.187 -4.896 2.521
Zn 0.637 -4.376 -2.872
Zn -2.828 -11.969 -4.542
Zn -2.821 -4.078 -2.849
Zn -0.440 -9.850 -3.181
Zn -6.194 -12.787 0.828
Zn -8.574 -7.016 1.160
Ga -8.297 -16.446 -1.095
Ga -4.247 -8.382 0.206
Ga -0.718 -0.419 -0.926
Ga -4.768 -8.483 -2.227
Ga -8.117 -13.911 -0.693
Ga -5.987 -7.392 1.823
Ga -0.897 -2.954 -1.328
Ga -3.028 -9.473 -3.843
Ga -6.307 -12.525 -1.855
Ga -7.750 -8.884 2.924
Ga -2.707 -4.341 -0.166
Ga -1.265 -7.981 -4.945
Ga -4.594 -13.661 -3.482
Ga -7.821 -11.457 2.427
Ga -4.421 -3.204 1.461
Ga -1.194 -5.408 -4.448
```



(9)
DFT (GGA-PBE) results for a relaxed SrZn5Ga7 crystal.

energy of formation from the pure elements: -0.11 eV/atom
VASP energy: -30.64 eV for the cell shown
calculated volume: 239.9 Å³/cell
N(E_F): 3.1 states/eV/f.u.
symmetry: Imm2 (44)

Structure (extended XYZ):
```
13
Lattice="0.662 -1.043 5.194 -4.029 -5.593 2.135 5.451 -4.592 1.127" Properties=species:S:1:pos:R:3 pbc="T T T"
Sr 0.663 -1.052 5.192
Zn -0.934 -8.411 5.290
Zn -0.603 -8.932 7.888
Zn 3.730 -7.918 4.794
Zn 4.061 -8.440 7.392
Zn 1.585 -8.684 6.286
Ga 0.933 -4.301 4.505
Ga 1.154 -6.960 3.943
Ga 2.097 -4.944 1.484
Ga -0.676 -5.237 1.779
Ga 0.496 -2.500 2.179
Ga -1.717 -5.901 4.522
Ga 3.800 -5.318 3.936
```



(10)
DFT (GGA-PBE) results for a relaxed Sr2Zr2Ga crystal.

energy of formation from the pure elements: 0.30 eV/atom
VASP energy: -21.97 eV for the cell shown
calculated volume: 165.8 Å³/cell
E above lowest polymorph: 0.000 eV per atom
N(E_F): 6.8 states/eV/f.u.
symmetry: I4/mmm (139)

Structure (extended XYZ):
```
5
Lattice="-2.932 -2.246 -1.480 2.596 -2.936 -0.687 -2.023 -6.465 8.467" Properties=species:S:1:pos:R:3 pbc="T T T"
Sr -0.511 -3.306 0.680
Sr -1.848 -8.341 5.620
Ga 0.000 0.000 0.000
Zr -2.561 -5.651 2.952
Zr 0.202 -5.996 3.348
```



(11)
DFT (GGA-PBE) results for a relaxed SrZrGa2 crystal.

energy of formation from the pure elements: 0.18 eV/atom
VASP energy: -31.11 eV for the cell shown
calculated volume: 242.4 Å³/cell
N(E_F): 2.9 states/eV/f.u.
symmetry: I-42d (122)

Structure (extended XYZ):
```
8
Lattice="-3.859 -3.238 0.580 2.796 -3.700 -2.051 2.690 -5.775 7.819" Properties=species:S:1:pos:R:3 pbc="T T T"
Sr -0.532 -3.469 -0.735
Sr 2.477 -6.472 2.517
Ga -1.876 -4.338 2.134
Ga -1.435 -6.991 1.253
Ga 1.266 -6.467 5.572
Ga -1.357 -7.169 6.370
Zr 0.000 0.000 0.000
Zr -0.850 -6.241 3.832
```



(12)
DFT (GGA-PBE) results for a relaxed SrZr2Ga2 crystal.

energy of formation from the pure elements: -0.24 eV/atom
VASP energy: -52.11 eV for the cell shown
calculated volume: 231.6 Å³/cell
E above lowest polymorph: 0.000 eV per atom
N(E_F): 4.0 states/eV/f.u.
symmetry: P4/mbm (127)

Structure (extended XYZ):
```
10
Lattice="8.529 0.000 0.000 0.000 8.529 0.000 0.000 0.000 3.184" Properties=species:S:1:pos:R:3 pbc="T T T"
Sr 0.000 0.000 0.000
Sr 4.265 4.265 0.000
Ga 2.854 7.118 0.000
Ga 7.118 5.676 0.000
Ga 5.676 1.411 0.000
Ga 1.411 2.854 0.000
Zr 1.111 5.375 1.592
Zr 5.375 7.418 1.592
Zr 7.418 3.154 1.592
Zr 3.154 1.111 1.592
```



(13)
DFT (GGA-PBE) results for a relaxed Sr2Zr2Ga crystal.

energy of formation from the pure elements: 0.73 eV/atom
VASP energy: -39.67 eV for the cell shown
calculated volume: 337.3 Å³/cell
E above lowest polymorph: 0.428 eV per atom
N(E_F): 3.9 states/eV/f.u.
symmetry: P4/mbm (127)

Structure (extended XYZ):
```
10
Lattice="-1.411 -7.001 -6.753 -3.283 -6.080 6.989 -3.253 1.158 -0.521" Properties=species:S:1:pos:R:3 pbc="T T T"
Sr -3.064 -7.004 3.566
Sr -3.422 -9.859 -0.552
Sr -1.630 -6.077 -3.330
Sr -1.273 -3.221 0.788
Ga 0.000 0.000 0.000
Ga -2.347 -6.540 0.118
Zr -3.717 -3.710 3.257
Zr -5.437 -9.089 2.040
Zr -4.231 -8.212 -3.541
Zr -2.511 -2.833 -2.324
```



(14)
DFT (GGA-PBE) results for a relaxed SrZrGa2 crystal.

energy of formation from the pure elements: -0.35 eV/atom
VASP energy: -17.69 eV for the cell shown
calculated volume: 94.7 Å³/cell
N(E_F): 3.0 states/eV/f.u.
symmetry: P4/mmm (123)

Structure (extended XYZ):
```
4
Lattice="-2.314 2.736 -0.742 0.220 -0.782 -3.568 -5.463 -4.446 0.638" Properties=species:S:1:pos:R:3 pbc="T T T"
Sr -3.778 -1.246 -1.836
Ga -4.420 -3.597 0.516
Ga -1.043 -0.848 0.122
Zr -1.047 0.977 -2.155
```



(15)
DFT (GGA-PBE) results for a relaxed Ta6Ga5 crystal.

energy of formation from the pure elements: 0.04 eV/atom
VASP energy: -85.79 eV for the cell shown
calculated volume: 190.8 Å³/cell
N(E_F): 5.9 states/eV/f.u.
symmetry: C2/m (12)

Structure (extended XYZ):
```
11
Lattice="-0.684 1.691 -7.781 3.723 -1.909 -4.846 -2.894 -3.498 -2.229" Properties=species:S:1:pos:R:3 pbc="T T T"
Ta -2.535 -1.004 -7.887
Ta -1.043 -0.803 -2.123
Ta -0.001 -3.689 -7.853
Ta 1.477 -0.315 -11.287
Ta 0.146 -0.027 -7.003
Ta -1.332 -3.401 -3.569
Ga -1.789 -0.904 -5.005
Ga 0.683 0.151 -4.131
Ga 2.356 -0.369 -8.496
Ga 0.394 -2.383 -5.518
Ga -0.249 -1.334 -9.338
```



(16)
DFT (GGA-PBE) results for a relaxed Ta3Ga2 crystal.

energy of formation from the pure elements: -0.08 eV/atom
VASP energy: -42.01 eV for the cell shown
calculated volume: 86.2 Å³/cell
E above lowest polymorph: 0.201 eV per atom
N(E_F): 2.9 states/eV/f.u.
symmetry: Immm (71)

Structure (extended XYZ):
```
5
Lattice="3.371 0.000 1.565 1.213 4.783 1.800 -0.380 0.235 5.233" Properties=species:S:1:pos:R:3 pbc="T T T"
Ta 0.000 0.000 0.000
Ta 3.231 3.609 6.281
Ta 0.973 1.409 2.318
Ga 1.783 1.599 4.986
Ga 2.421 3.419 3.612
```



(17)
DFT (GGA-PBE) results for a relaxed Ta5Ga6 crystal.

energy of formation from the pure elements: -0.02 eV/atom
VASP energy: -77.61 eV for the cell shown
calculated volume: 188.6 Å³/cell
N(E_F): 2.8 states/eV/f.u.
symmetry: C2/m (12)

Structure (extended XYZ):
```
11
Lattice="5.300 0.000 0.566 2.650 5.701 0.283 2.286 0.000 6.487" Properties=species:S:1:pos:R:3 pbc="T T T"
Ta 3.793 0.000 3.527
Ta 2.650 1.730 0.283
Ta 5.300 3.971 0.566
Ta 3.793 3.186 3.527
Ta 6.443 2.515 3.810
Ga 6.045 0.000 5.043
Ga 1.541 0.000 2.010
Ga 5.255 4.137 5.596
Ga 7.632 4.137 2.024
Ga 4.982 1.563 1.741
Ga 2.605 1.563 5.312
```



(18)
DFT (GGA-PBE) results for a relaxed Ta5Ga4 crystal.

energy of formation from the pure elements: -0.09 eV/atom
VASP energy: -72.17 eV for the cell shown
calculated volume: 156.3 Å³/cell
N(E_F): 4.0 states/eV/f.u.
symmetry: I4/mmm (139)

Structure (extended XYZ):
```
9
Lattice="3.671 0.000 0.000 1.836 6.526 0.000 1.836 0.000 6.526" Properties=species:S:1:pos:R:3 pbc="T T T"
Ta 3.671 4.303 0.000
Ta 5.507 6.525 4.303
Ta 1.836 0.000 2.223
Ta 3.671 2.223 6.525
Ta 0.000 0.000 0.000
Ga 3.671 2.086 2.086
Ga 5.507 4.440 2.086
Ga 1.836 2.086 4.440
Ga 3.671 4.440 4.440
```



(19)
DFT (GGA-PBE) results for a relaxed Ta5Ga crystal.

energy of formation from the pure elements: -0.06 eV/atom
VASP energy: -62.64 eV for the cell shown
calculated volume: 106.6 Å³/cell
N(E_F): 5.7 states/eV/f.u.
symmetry: Cmmm (65)

Structure (extended XYZ):
```
6
Lattice="-1.553 2.920 1.021 0.560 -1.212 4.318 5.752 3.778 -2.052" Properties=species:S:1:pos:R:3 pbc="T T T"
Ga 0.000 0.000 0.000
Ta 3.518 2.965 2.741
Ta 2.235 0.422 2.194
Ta -0.497 0.854 2.670
Ta 4.077 2.144 0.073
Ta 1.240 2.520 0.546
```



(20)
DFT (GGA-PBE) results for a relaxed Ta2Ga crystal.

energy of formation from the pure elements: 1.02 eV/atom
VASP energy: -47.36 eV for the cell shown
calculated volume: 124.2 Å³/cell
N(E_F): 1.9 states/eV/f.u.
symmetry: P4_2/mnm (136)

Structure (extended XYZ):
```
6
Lattice="-2.432 -2.241 -1.794 -1.767 -2.119 5.041 -4.012 4.100 0.317" Properties=species:S:1:pos:R:3 pbc="T T T"
Ta -4.557 1.120 0.832
Ta -4.618 1.583 4.280
Ta -3.594 -1.842 -0.717
Ta -3.655 -1.379 2.731
Ga -2.890 0.991 2.679
Ga -1.216 -1.120 -0.897
```